Crystalline ScBeAs at its relaxed geometry, computed with GGA-PBE.

Output
ΔE to the lowest computed polymorph = 525 meV per atom
Energy = -30.76 eV/cell
Energy relative to the elements = -0.22 eV per atom
Size of the total moment = 0.0 μB per formula unit

Unit cell a=3.229 b=3.229 c=9.327 alpha=90.00 beta=90.00 gamma=90.00
Space group I4mm (No. 107)
Symmetry-distinct sites (fractional):
1 Sc 0.000 0.000 0.000
2 Be 0.000 0.000 0.697
3 As 0.000 0.000 0.295